No. 1
DFT (PBE-GGA) results for a relaxed structure of VPAu2.

Lattice parameters (Å, degrees): 5.8430 5.8430 5.8430 101.11 101.11 127.92
With the nearest neighbours (Å) after each atom.
Fractional coordinates of all 8 atoms:
1 V 0.0000 0.0000 0.0000  2 P 2.57
2 V 0.7500 0.2500 0.5000  2 P 2.57
3 P 0.2500 0.7500 0.5000  4 Au 2.51, 2 V 2.57
4 P 0.5000 0.5000 0.0000  4 Au 2.51, 2 V 2.57
5 Au 0.1645 0.6250 0.0395  2 P 2.51, 2 Au 2.63
6 Au 0.3750 0.4145 0.5395  2 P 2.51, 2 Au 2.63
7 Au 0.5855 0.1250 0.9605  2 P 2.51, 2 Au 2.63
8 Au 0.8750 0.8355 0.4605  2 P 2.51, 2 Au 2.63

E_form: 0.8 eV/f.u.
Space-group type: I-42d (122)
Spin magnetization: 2.25 μB/f.u.

=====

No. 2
DFT (PBE-GGA) results for a relaxed structure of GeB2Rh8.

Lattice parameters (Å, degrees): 6.0766 6.0766 4.2787 98.87 98.87 109.58
With the nearest neighbours (Å) after each atom.
Fractional coordinates of all 11 atoms:
1 Ge 0.0000 0.0000 0.0000  4 Rh 2.47-2.55
2 B 0.3156 0.6844 0.5000  8 Rh 2.24-2.31
3 B 0.6844 0.3156 0.5000  8 Rh 2.24-2.31
4 Rh 0.0688 0.3320 0.5969  2 B 2.27-2.31
5 Rh 0.2485 0.7515 0.0000  2 B 2.24, 1 Ge 2.47
6 Rh 0.3320 0.0688 0.5969  2 B 2.27-2.31
7 Rh 0.3775 0.3775 0.1968  2 B 2.28
8 Rh 0.6225 0.6225 0.8032  2 B 2.28
9 Rh 0.6680 0.9312 0.4031  2 B 2.27-2.31
10 Rh 0.7515 0.2485 0.0000  2 B 2.24, 1 Ge 2.47
11 Rh 0.9312 0.6680 0.4031  2 B 2.27-2.31

E_form: -1.7 eV/f.u.
Space-group type: C2/m (12)
Spin magnetization: 0.00 μB/f.u.

=====

No. 3
DFT (PBE-GGA) results for a relaxed structure of Nd6HN2Cl3.

Lattice parameters (Å, degrees): 6.4217 6.4217 7.3770 98.49 98.49 119.50
With the nearest neighbours (Å) after each atom.
Fractional coordinates of all 12 atoms:
1 Nd 0.0862 0.4356 0.8060  2 N 2.50-2.51, 1 H 2.63
2 Nd 0.2105 0.2105 0.1938  2 N 2.49, 1 H 2.67
3 Nd 0.4356 0.0862 0.8060  2 N 2.50-2.51, 1 H 2.63
4 Nd 0.5644 0.9138 0.1940  2 N 2.50-2.51, 1 H 2.63
5 Nd 0.7895 0.7895 0.8062  2 N 2.49, 1 H 2.67
6 Nd 0.9138 0.5644 0.1940  2 N 2.50-2.51, 1 H 2.63
7 H 0.5000 0.5000 0.0000  6 Nd 2.63-2.67
8 N 0.1670 0.8330 0.0000  6 Nd 2.49-2.51
9 N 0.8330 0.1670 0.0000  6 Nd 2.49-2.51
10 Cl 0.0000 0.0000 0.5000  6 Nd 2.96-3.08
11 Cl 0.3336 0.6664 0.5000  6 Nd 2.97-3.09
12 Cl 0.6664 0.3336 0.5000  6 Nd 2.97-3.09

Raw total energy: -0.2125 Ha/atom
Space-group type: C2/m (12)
Spin magnetization: 0.00 μB/f.u.

=====

No. 4
DFT (PBE-GGA) results for a relaxed structure of Mg2Tl2Co.

Lattice parameters (Å, degrees): 6.9983 6.9983 4.5429 90.00 90.00 90.00
With the nearest neighbours (Å) after each atom.
Fractional coordinates of all 10 atoms:
1 Mg 0.1547 0.3453 0.0000  2 Co 2.65, 2 Tl 2.89
2 Mg 0.3453 0.8453 0.0000  2 Co 2.65, 2 Tl 2.89
3 Mg 0.6547 0.1547 0.0000  2 Co 2.65, 2 Tl 2.89
4 Mg 0.8453 0.6547 0.0000  2 Co 2.65, 2 Tl 2.89
5 Tl 0.1654 0.6654 0.5000  6 Mg 2.89-3.19
6 Tl 0.3346 0.1654 0.5000  6 Mg 2.89-3.19
7 Tl 0.6654 0.8346 0.5000  6 Mg 2.89-3.19
8 Tl 0.8346 0.3346 0.5000  6 Mg 2.89-3.19
9 Co 0.0000 0.0000 0.0000  4 Mg 2.65
10 Co 0.5000 0.5000 0.0000  4 Mg 2.65

E_form: 1.9 eV/f.u.
Space-group type: P4/mbm (127)
Spin magnetization: 1.23 μB/f.u.

=====

No. 5
DFT (PBE-GGA) results for a relaxed structure of HfHg2Cl8.

Lattice parameters (Å, degrees): 8.1485 8.1485 6.3942 95.32 95.32 62.77
With the nearest neighbours (Å) after each atom.
Fractional coordinates of all 11 atoms:
1 Hf 0.0000 0.0000 0.0000  6 Cl 2.43-2.49
2 Hg 0.2041 0.2041 0.7158  1 Cl 2.32
3 Hg 0.7959 0.7959 0.2842  1 Cl 2.32
4 Cl 0.1340 0.7238 0.2165  1 Hf 2.49, 1 Hg 2.61
5 Cl 0.1494 0.1494 0.2359  1 Hf 2.43
6 Cl 0.2762 0.8660 0.7835  1 Hf 2.49, 1 Hg 2.61
7 Cl 0.3681 0.3681 0.6818  1 Hg 2.32
8 Cl 0.6319 0.6319 0.3182  1 Hg 2.32
9 Cl 0.7238 0.1340 0.2165  1 Hf 2.49, 1 Hg 2.61
10 Cl 0.8506 0.8506 0.7641  1 Hf 2.43
11 Cl 0.8660 0.2762 0.7835  1 Hf 2.49, 1 Hg 2.61

Uncorrected formation energy: -12.02 eV/f.u.
Space-group type: C2/m (12)
Spin magnetization: 0.08 μB/f.u.

=====

No. 6
DFT (PBE-GGA) results for a relaxed structure of Ce6OsPb2C.

Lattice parameters (Å, degrees): 5.2017 5.2017 10.4789 90.00 90.00 90.00
With the nearest neighbours (Å) after each atom.
Fractional coordinates of all 10 atoms:
1 Ce 0.0000 0.0000 0.2286  1 C 2.40
2 Ce 0.0000 0.0000 0.7714  1 C 2.40
3 Ce 0.0000 0.5000 0.0000  2 C 2.60
4 Ce 0.0000 0.5000 0.5000  2 Os 2.60
5 Ce 0.5000 0.0000 0.0000  2 C 2.60
6 Ce 0.5000 0.0000 0.5000  2 Os 2.60
7 Os 0.0000 0.0000 0.5000  6 Ce 2.60-2.84
8 Pb 0.5000 0.5000 0.2405  12 Ce 3.62-3.76
9 Pb 0.5000 0.5000 0.7595  12 Ce 3.62-3.76
10 C 0.0000 0.0000 0.0000  6 Ce 2.40-2.60

E_form: -2.6 eV/f.u.
Space-group type: P4/mmm (123)
Spin magnetization: 4.76 μB/f.u.

=====

No. 7
DFT (PBE-GGA) results for a relaxed structure of Pm2SmDy6Ho.

Lattice parameters (Å, degrees): 8.7830 8.7830 9.6858 94.45 94.45 118.03
With the nearest neighbours (Å) after each atom.
Fractional coordinates of all 20 atoms:
1 Pm 0.1952 0.2977 0.0428  5 Dy 3.27-3.53, 2 Sm 3.37-3.39, 1 Ho 3.55
2 Pm 0.2977 0.1952 0.5428  5 Dy 3.27-3.53, 2 Sm 3.37-3.39, 1 Ho 3.55
3 Pm 0.7023 0.8048 0.4572  5 Dy 3.27-3.53, 2 Sm 3.37-3.39, 1 Ho 3.55
4 Pm 0.8048 0.7023 0.9572  5 Dy 3.27-3.53, 2 Sm 3.37-3.39, 1 Ho 3.55
5 Sm 0.0192 0.9808 0.2500  4 Pm 3.37-3.39, 4 Dy 3.60-3.66
6 Sm 0.9808 0.0192 0.7500  4 Pm 3.37-3.39, 4 Dy 3.60-3.66
7 Dy 0.0202 0.5725 0.1861  2 Dy 3.23-3.57, 1 Pm 3.40, 1 Ho 3.46, 1 Sm 3.60
8 Dy 0.1235 0.7440 0.5569  8 Dy 3.41-3.80, 1 Pm 3.53, 1 Sm 3.66, 1 Ho 3.78
9 Dy 0.2560 0.8765 0.9431  8 Dy 3.41-3.80, 1 Pm 3.53, 1 Sm 3.66, 1 Ho 3.78
10 Dy 0.2936 0.5058 0.3803  4 Dy 3.23-3.51, 3 Pm 3.27-3.45, 2 Ho 3.42-3.57
11 Dy 0.4275 0.9798 0.3139  2 Dy 3.23-3.57, 1 Pm 3.40, 1 Ho 3.46, 1 Sm 3.60
12 Dy 0.4942 0.7064 0.1197  4 Dy 3.23-3.51, 3 Pm 3.27-3.45, 2 Ho 3.42-3.57
13 Dy 0.5058 0.2936 0.8803  4 Dy 3.23-3.51, 3 Pm 3.27-3.45, 2 Ho 3.42-3.57
14 Dy 0.5725 0.0202 0.6861  2 Dy 3.23-3.57, 1 Pm 3.40, 1 Ho 3.46, 1 Sm 3.60
15 Dy 0.7064 0.4942 0.6197  4 Dy 3.23-3.51, 3 Pm 3.27-3.45, 2 Ho 3.42-3.57
16 Dy 0.7440 0.1235 0.0569  8 Dy 3.41-3.80, 1 Pm 3.53, 1 Sm 3.66, 1 Ho 3.78
17 Dy 0.8765 0.2560 0.4431  8 Dy 3.41-3.80, 1 Pm 3.53, 1 Sm 3.66, 1 Ho 3.78
18 Dy 0.9798 0.4275 0.8139  2 Dy 3.23-3.57, 1 Pm 3.40, 1 Ho 3.46, 1 Sm 3.60
19 Ho 0.4075 0.5925 0.7500  8 Dy 3.42-3.78, 2 Pm 3.55
20 Ho 0.5925 0.4075 0.2500  8 Dy 3.42-3.78, 2 Pm 3.55

E_form: 1.2 eV/f.u.
Space-group type: C2/c (15)
Spin magnetization: 0.00 μB/f.u.

=====

No. 8
DFT (PBE-GGA) results for a relaxed structure of La3Sm8Tm2.

Lattice parameters (Å, degrees): 10.9144 10.9144 5.7680 90.01 90.01 41.75
With the nearest neighbours (Å) after each atom.
Fractional coordinates of all 13 atoms:
1 La 0.0000 0.0000 0.0000  4 Sm 3.19
2 La 0.2954 0.7046 0.5000  1 La 3.18
3 La 0.7046 0.2954 0.5000  1 La 3.18
4 Sm 0.1369 0.1369 0.4995  2 Tm 3.58, 3 La 3.62-4.01, 7 Sm 3.71-3.97
5 Sm 0.1815 0.5987 0.0002  1 La 3.19, 1 Sm 3.24, 2 Tm 3.44-3.51
6 Sm 0.3241 0.3241 0.4999  2 Tm 3.34, 4 Sm 3.57
7 Sm 0.4013 0.8185 0.9998  1 La 3.19, 1 Sm 3.24, 2 Tm 3.44-3.51
8 Sm 0.5987 0.1815 0.0002  1 La 3.19, 1 Sm 3.24, 2 Tm 3.44-3.51
9 Sm 0.6759 0.6759 0.5001  2 Tm 3.34, 4 Sm 3.57
10 Sm 0.8185 0.4013 0.9998  1 La 3.19, 1 Sm 3.24, 2 Tm 3.44-3.51
11 Sm 0.8631 0.8631 0.5005  2 Tm 3.58, 3 La 3.62-4.01, 7 Sm 3.71-3.97
12 Tm 0.2412 0.2412 0.9996  8 Sm 3.34-3.58
13 Tm 0.7588 0.7588 0.0004  8 Sm 3.34-3.58

E_form: 2.9 eV/f.u.
Space-group type: C2/m (12)
Spin magnetization: 0.00 μB/f.u.

=====

Q: Which formula does entry 8 have?
A: La3Sm8Tm2

=====

Please write out number 7 again, unchanged.
DFT (PBE-GGA) results for a relaxed structure of Pm2SmDy6Ho.

Lattice parameters (Å, degrees): 8.7830 8.7830 9.6858 94.45 94.45 118.03
With the nearest neighbours (Å) after each atom.
Fractional coordinates of all 20 atoms:
1 Pm 0.1952 0.2977 0.0428  5 Dy 3.27-3.53, 2 Sm 3.37-3.39, 1 Ho 3.55
2 Pm 0.2977 0.1952 0.5428  5 Dy 3.27-3.53, 2 Sm 3.37-3.39, 1 Ho 3.55
3 Pm 0.7023 0.8048 0.4572  5 Dy 3.27-3.53, 2 Sm 3.37-3.39, 1 Ho 3.55
4 Pm 0.8048 0.7023 0.9572  5 Dy 3.27-3.53, 2 Sm 3.37-3.39, 1 Ho 3.55
5 Sm 0.0192 0.9808 0.2500  4 Pm 3.37-3.39, 4 Dy 3.60-3.66
6 Sm 0.9808 0.0192 0.7500  4 Pm 3.37-3.39, 4 Dy 3.60-3.66
7 Dy 0.0202 0.5725 0.1861  2 Dy 3.23-3.57, 1 Pm 3.40, 1 Ho 3.46, 1 Sm 3.60
8 Dy 0.1235 0.7440 0.5569  8 Dy 3.41-3.80, 1 Pm 3.53, 1 Sm 3.66, 1 Ho 3.78
9 Dy 0.2560 0.8765 0.9431  8 Dy 3.41-3.80, 1 Pm 3.53, 1 Sm 3.66, 1 Ho 3.78
10 Dy 0.2936 0.5058 0.3803  4 Dy 3.23-3.51, 3 Pm 3.27-3.45, 2 Ho 3.42-3.57
11 Dy 0.4275 0.9798 0.3139  2 Dy 3.23-3.57, 1 Pm 3.40, 1 Ho 3.46, 1 Sm 3.60
12 Dy 0.4942 0.7064 0.1197  4 Dy 3.23-3.51, 3 Pm 3.27-3.45, 2 Ho 3.42-3.57
13 Dy 0.5058 0.2936 0.8803  4 Dy 3.23-3.51, 3 Pm 3.27-3.45, 2 Ho 3.42-3.57
14 Dy 0.5725 0.0202 0.6861  2 Dy 3.23-3.57, 1 Pm 3.40, 1 Ho 3.46, 1 Sm 3.60
15 Dy 0.7064 0.4942 0.6197  4 Dy 3.23-3.51, 3 Pm 3.27-3.45, 2 Ho 3.42-3.57
16 Dy 0.7440 0.1235 0.0569  8 Dy 3.41-3.80, 1 Pm 3.53, 1 Sm 3.66, 1 Ho 3.78
17 Dy 0.8765 0.2560 0.4431  8 Dy 3.41-3.80, 1 Pm 3.53, 1 Sm 3.66, 1 Ho 3.78
18 Dy 0.9798 0.4275 0.8139  2 Dy 3.23-3.57, 1 Pm 3.40, 1 Ho 3.46, 1 Sm 3.60
19 Ho 0.4075 0.5925 0.7500  8 Dy 3.42-3.78, 2 Pm 3.55
20 Ho 0.5925 0.4075 0.2500  8 Dy 3.42-3.78, 2 Pm 3.55

E_form: 1.2 eV/f.u.
Space-group type: C2/c (15)
Spin magnetization: 0.00 μB/f.u.